Version 1
Density functional theory data (PBE-GGA) for TmSnSb2 after structural relaxation.

Calculated values
V in Å³/cell: 106.39

Cell and atoms, written as CIF:
```
data_TmSnSb2
_chemical_formula_sum 'Tm1 Sn1 Sb2'
_space_group_name_H-M_alt 'P 4/m m m'
_space_group_IT_number 123
_space_group_name_Hall '-P 4 2'
_cell_length_a 5.149
_cell_length_b 5.149
_cell_length_c 4.012
_cell_angle_alpha 90.00
_cell_angle_beta 90.00
_cell_angle_gamma 90.00
loop_
_atom_site_label
_atom_site_type_symbol
_atom_site_fract_x
_atom_site_fract_y
_atom_site_fract_z
_atom_site_occupancy
Tm1 Tm 0.000 0.000 0.000 1
Sn1 Sn 0.500 0.500 0.000 1
Sb1 Sb 0.000 0.500 0.500 1
```



Version 2
Density functional theory data (PBE-GGA) for TmSnSb2 after structural relaxation.

Calculated values
V in Å³/cell: 107.35

Cell and atoms, written as CIF:
```
data_TmSnSb2
_chemical_formula_sum 'Tm1 Sn1 Sb2'
_space_group_name_H-M_alt 'P 4/m m m'
_space_group_IT_number 123
_space_group_name_Hall '-P 4 2'
_cell_length_a 4.101
_cell_length_b 4.101
_cell_length_c 6.384
_cell_angle_alpha 90.00
_cell_angle_beta 90.00
_cell_angle_gamma 90.00
loop_
_atom_site_label
_atom_site_type_symbol
_atom_site_fract_x
_atom_site_fract_y
_atom_site_fract_z
_atom_site_occupancy
Tm1 Tm 0.000 0.000 0.000 1
Sn1 Sn 0.000 0.000 0.500 1
Sb1 Sb 0.500 0.500 0.236 1
```



How do the energies compare? Relative to the most stable structure, in kJ/mol of atoms: version 1 4.4; version 2 0.0.



Version 1
Density functional theory data (PBE-GGA) for TmSnSb after structural relaxation.

Calculated values
V in Å³/cell: 80.14

Cell and atoms, written as CIF:
```
data_TmSnSb
_chemical_formula_sum 'Tm1 Sn1 Sb1'
_space_group_name_H-M_alt 'P 3 m 1'
_space_group_IT_number 156
_space_group_name_Hall 'P 3 -2"'
_cell_length_a 5.3485
_cell_length_b 5.3485
_cell_length_c 3.2348
_cell_angle_alpha 90.00
_cell_angle_beta 90.00
_cell_angle_gamma 120.00
loop_
_atom_site_label
_atom_site_type_symbol
_atom_site_fract_x
_atom_site_fract_y
_atom_site_fract_z
_atom_site_occupancy
Tm1 Tm 0.0000 0.0000 0.0000 1
Sn1 Sn 0.3333 0.6667 0.5010 1
Sb1 Sb 0.6667 0.3333 0.4982 1
```



Version 2
Density functional theory data (PBE-GGA) for TmSnSb after structural relaxation.

Calculated values
V in Å³/cell: 366.56

Cell and atoms, written as CIF:
```
data_TmSnSb
_chemical_formula_sum 'Tm4 Sn4 Sb4'
_space_group_name_H-M_alt 'P n m a'
_space_group_IT_number 62
_space_group_name_Hall '-P 2ac 2n'
_cell_length_a 13.296
_cell_length_b 4.623
_cell_length_c 5.964
_cell_angle_alpha 90.00
_cell_angle_beta 90.00
_cell_angle_gamma 90.00
loop_
_atom_site_label
_atom_site_type_symbol
_atom_site_fract_x
_atom_site_fract_y
_atom_site_fract_z
_atom_site_occupancy
Tm1 Tm 0.200 0.250 0.102 1
Sn1 Sn 0.037 0.750 0.142 1
Sb1 Sb 0.150 0.250 0.601 1
```



How do the energies compare? Relative to the most stable structure, in kJ/mol of atoms: version 1 21.7; version 2 0.0.



Version 1
Density functional theory data (PBE-GGA) for USnSb2 after structural relaxation.

Calculated values
V in Å³/cell: 329.05

Cell and atoms, written as CIF:
```
data_USnSb2
_chemical_formula_sum 'U3 Sn3 Sb6'
_space_group_name_H-M_alt 'R -3 m'
_space_group_IT_number 166
_space_group_name_Hall '-R 3 2"'
_cell_length_a 3.2188
_cell_length_b 3.2188
_cell_length_c 36.6725
_cell_angle_alpha 90.00
_cell_angle_beta 90.00
_cell_angle_gamma 120.00
loop_
_atom_site_label
_atom_site_type_symbol
_atom_site_fract_x
_atom_site_fract_y
_atom_site_fract_z
_atom_site_occupancy
U1 U 0.0000 0.0000 0.0000 1
Sn1 Sn 0.0000 0.0000 0.5000 1
Sb1 Sb 0.0000 0.0000 0.0860 1
```



Version 2
Density functional theory data (PBE-GGA) for USnSb2 after structural relaxation.

Calculated values
V in Å³/cell: 101.81

Cell and atoms, written as CIF:
```
data_USnSb2
_chemical_formula_sum 'U1 Sn1 Sb2'
_space_group_name_H-M_alt 'P 4/m m m'
_space_group_IT_number 123
_space_group_name_Hall '-P 4 2'
_cell_length_a 4.941
_cell_length_b 4.941
_cell_length_c 4.170
_cell_angle_alpha 90.00
_cell_angle_beta 90.00
_cell_angle_gamma 90.00
loop_
_atom_site_label
_atom_site_type_symbol
_atom_site_fract_x
_atom_site_fract_y
_atom_site_fract_z
_atom_site_occupancy
U1 U 0.000 0.000 0.000 1
Sn1 Sn 0.500 0.500 0.000 1
Sb1 Sb 0.000 0.500 0.500 1
```



How do the energies compare? Relative to the most stable structure, in kJ/mol of atoms: version 1 51.7; version 2 0.0.



Version 1
Density functional theory data (PBE-GGA) for USnSb2 after structural relaxation.

Calculated values
V in Å³/cell: 376.18

Cell and atoms, written as CIF:
```
data_USnSb2
_chemical_formula_sum 'U3 Sn3 Sb6'
_space_group_name_H-M_alt 'R 3 m'
_space_group_IT_number 160
_space_group_name_Hall 'R 3 -2"'
_cell_length_a 4.3184
_cell_length_b 4.3184
_cell_length_c 23.2923
_cell_angle_alpha 90.00
_cell_angle_beta 90.00
_cell_angle_gamma 120.00
loop_
_atom_site_label
_atom_site_type_symbol
_atom_site_fract_x
_atom_site_fract_y
_atom_site_fract_z
_atom_site_occupancy
U1 U 0.0000 0.0000 0.0000 1
Sn1 Sn 0.0000 0.0000 0.8317 1
Sb1 Sb 0.0000 0.0000 0.4127 1
Sb2 Sb 0.0000 0.0000 0.5894 1
```



Version 2
Density functional theory data (PBE-GGA) for USnSb2 after structural relaxation.

Calculated values
V in Å³/cell: 104.87

Cell and atoms, written as CIF:
```
data_USnSb2
_chemical_formula_sum 'U1 Sn1 Sb2'
_space_group_name_H-M_alt 'P 4/m m m'
_space_group_IT_number 123
_space_group_name_Hall '-P 4 2'
_cell_length_a 4.032
_cell_length_b 4.032
_cell_length_c 6.451
_cell_angle_alpha 90.00
_cell_angle_beta 90.00
_cell_angle_gamma 90.00
loop_
_atom_site_label
_atom_site_type_symbol
_atom_site_fract_x
_atom_site_fract_y
_atom_site_fract_z
_atom_site_occupancy
U1 U 0.000 0.000 0.000 1
Sn1 Sn 0.000 0.000 0.500 1
Sb1 Sb 0.500 0.500 0.237 1
```



How do the energies compare? Relative to the most stable structure, in kJ/mol of atoms: version 1 20.0; version 2 0.0.